CdHgMo2 at its PBEsol-relaxed geometry, computed with SCAN.

Cell lengths 2.8438, 2.8438, 9.5171 Å; angles 90.00, 90.00, 111.67 degrees
Last column: nearest neighbours and their distance in Å.
Fractional positions:
Mo1 0.5000 0.5000 0.7711  2 Mo 2.53
Mo2 0.0000 0.0000 0.9775  2 Mo 2.53
Cd1 0.0000 0.0000 0.5157  4 Cd 2.84, 2 Mo 2.91, 2 Hg 3.11
Hg1 0.5000 0.5000 0.2356  4 Hg 2.84, 2 Mo 2.93, 2 Cd 3.11

Calculated values
M_tot: 0.00 μB/cell
Fermi-level density of states: 1.82 states/eV/cell
Space group: Cmm2, No. 35
Excess energy over the best structure of this formula in the dataset: 0.0 meV per atom